(1)
Material: B2C
Method: DFT, GGA-PBE
State: optimized geometry

Its space group is C2/m. The excess energy over the best structure of this formula in the dataset comes out at 0.263 eV per atom. The calculation puts the energy of formation from the pure elements at 43.22 kJ per mole of atoms.

Cell: 6.886 6.886 5.663 Å, 71.65 71.65 22.59°
Element x y z (fractional)
B 0.755 0.755 0.200
B 0.907 0.907 0.495
B 0.245 0.245 0.800
B 0.136 0.136 0.067
B 0.093 0.093 0.505
B 0.471 0.471 0.888
B 0.864 0.864 0.933
B 0.529 0.529 0.112
C 0.465 0.465 0.403
C 0.535 0.535 0.597
C 0.197 0.197 0.276
C 0.803 0.803 0.724

***

(2)
Material: CuSe2O6
Method: DFT, GGA-PBE
State: optimized geometry

The uncorrected formation energy is -0.47 eV/atom. Its space group is C2/c.

Cell: 7.938 6.039 6.039 Å, 79.61 76.94 76.94°
Element x y z (fractional)
Se 0.243 0.266 0.360
Se 0.257 0.640 0.734
Se 0.757 0.734 0.640
Se 0.743 0.360 0.266
O 0.199 0.790 0.972
O 0.697 0.628 0.096
O 0.699 0.972 0.790
O 0.574 0.636 0.642
O 0.803 0.904 0.372
O 0.801 0.210 0.028
O 0.074 0.642 0.636
O 0.426 0.364 0.358
O 0.926 0.358 0.364
O 0.197 0.096 0.628
O 0.301 0.028 0.210
O 0.303 0.372 0.904
Cu 0.750 0.915 0.085
Cu 0.250 0.085 0.915

***

(3)
Material: AgAsRh
Method: DFT, GGA-PBE
State: optimized geometry

Its space group is P3m1. The excess energy over the best structure of this formula in the dataset comes out at 0.175 eV per atom. The calculation puts the energy of formation from the pure elements at -1.25 kJ per mole of atoms.

Cell: 3.014 3.014 6.608 Å, 90.00 90.00 120.00°
Element x y z (fractional)
Rh 0.667 0.333 0.636
Ag 0.000 0.000 0.988
As 0.333 0.667 0.376